1.
VASP calculation (GGA-PBE) on a relaxed CsCaI3 crystal.

abc: 11.132 8.203 12.464
angles: 90.00 124.01 90.00
Space group P2_1/c (No. 14)
One atom of each set of equivalent atoms:
Cs1 0.163 0.250 0.081 (multiplicity 4)
Ca1 0.270 0.663 0.385 (multiplicity 4)
I1 0.029 0.527 0.764 (multiplicity 4)
I2 0.270 0.749 0.135 (multiplicity 4)
I3 0.396 0.209 0.948 (multiplicity 4)

Properties
* total magnetic moment: 0.0 μB per cell
* ΔE_f (raw): -1544 meV/atom
* E: -3.05 eV/atom

2.
VASP calculation (GGA-PBE) on a relaxed CaGaReI2 crystal.

abc: 5.986 5.986 6.100
angles: 90.00 90.00 90.00
Space group P4/mmm (No. 123)
One atom of each set of equivalent atoms:
Ca1 0.000 0.000 0.000 (multiplicity 1)
Ga1 0.500 0.500 0.500 (multiplicity 1)
Re1 0.000 0.000 0.500 (multiplicity 1)
I1 0.000 0.500 0.000 (multiplicity 2)

Properties
* total magnetic moment: 4.0 μB per cell
* ΔE_f (raw): 830 meV/atom
* E: -3.29 eV/atom

3.
VASP calculation (GGA-PBE) on a relaxed Ni2MoBr crystal.

abc: 6.062 6.062 6.062
angles: 90.00 90.00 90.00
Space group F-43m (No. 216)
One atom of each set of equivalent atoms:
Ni1 0.000 0.000 0.000 (multiplicity 4)
Ni2 0.250 0.250 0.250 (multiplicity 4)
Mo1 0.000 0.000 0.500 (multiplicity 4)
Br1 0.250 0.250 0.750 (multiplicity 4)

Properties
* total magnetic moment: 0.0 μB per cell
* ΔE_f (raw): 666 meV/atom
* offset from the most stable computed form: 334 meV per atom
* E: -5.35 eV/atom

4.
VASP calculation (GGA-PBE) on a relaxed Na3PdSe2 crystal.

abc: 6.179 14.674 5.917
angles: 90.00 90.00 90.00
Space group Ibam (No. 72)
One atom of each set of equivalent atoms:
Na1 0.000 0.000 0.250 (multiplicity 4)
Na2 0.229 0.324 0.000 (multiplicity 8)
Pd1 0.000 0.500 0.250 (multiplicity 4)
Se1 0.232 0.379 0.500 (multiplicity 8)

Properties
* total magnetic moment: 3.5 μB per cell
* ΔE_f (raw): -722 meV/atom
* E: -3.41 eV/atom

5.
VASP calculation (GGA-PBE) on a relaxed Ac2GaSn2 crystal.

abc: 12.426 4.661 12.098
angles: 90.00 113.41 90.00
Space group C2/m (No. 12)
One atom of each set of equivalent atoms:
Ac1 0.092 0.000 0.405 (multiplicity 4)
Ac2 0.199 0.500 0.150 (multiplicity 4)
Ga1 0.031 0.500 0.786 (multiplicity 4)
Sn1 0.066 0.000 0.924 (multiplicity 4)
Sn2 0.151 0.500 0.636 (multiplicity 4)

Properties
* formation energy: -650 meV per atom
* total magnetic moment: 0.0 μB per cell
* offset from the most stable computed form: 0 meV per atom
* E: -4.50 eV/atom

6.
VASP calculation (GGA-PBE) on a relaxed Rb2Ca2Ge crystal.

abc: 4.806 4.806 22.917
angles: 90.00 90.00 90.00
Space group I4/mmm (No. 139)
One atom of each set of equivalent atoms:
Rb1 0.000 0.000 0.083 (multiplicity 4)
Ca1 0.000 0.500 0.250 (multiplicity 4)
Ge1 0.000 0.000 0.500 (multiplicity 2)

Properties
* formation energy: 484 meV per atom
* total magnetic moment: 1.1 μB per cell
* offset from the most stable computed form: 493 meV per atom
* E: -1.63 eV/atom

7.
VASP calculation (GGA-PBE) on a relaxed Cu3HPd crystal.

abc: 3.774 3.774 3.774
angles: 90.00 90.00 90.00
Space group Pm-3m (No. 221)
One atom of each set of equivalent atoms:
Cu1 0.000 0.000 0.500 (multiplicity 3)
H1 0.000 0.000 0.000 (multiplicity 1)
Pd1 0.500 0.500 0.500 (multiplicity 1)

Properties
* total magnetic moment: 0.0 μB per cell
* offset from the most stable computed form: 8 meV per atom
* E: -4.15 eV/atom

8.
VASP calculation (GGA-PBE) on a relaxed LaSmNpN4 crystal.

abc: 4.196 4.196 12.739
angles: 90.00 90.00 90.00
Space group I4mm (No. 107)
One atom of each set of equivalent atoms:
La1 0.000 0.000 0.000 (multiplicity 2)
Sm1 0.000 0.000 0.703 (multiplicity 2)
Np1 0.000 0.000 0.348 (multiplicity 2)
N1 0.000 0.000 0.178 (multiplicity 2)
N2 0.000 0.000 0.521 (multiplicity 2)
N3 0.000 0.500 0.342 (multiplicity 4)

Properties
* total magnetic moment: 2.0 μB per cell
* ΔE_f (raw): -1212 meV/atom
* E: -9.20 eV/atom

9.
VASP calculation (GGA-PBE) on a relaxed Tb3Nd4Te8 crystal.

abc: 12.504 12.510 8.845
angles: 90.00 134.97 90.00
Space group C2/m (No. 12)
One atom of each set of equivalent atoms:
Tb1 0.000 0.000 0.000 (multiplicity 2)
Tb2 0.250 0.250 0.500 (multiplicity 4)
Nd1 0.000 0.000 0.500 (multiplicity 2)
Nd2 0.000 0.500 0.000 (multiplicity 2)
Nd3 0.250 0.250 0.000 (multiplicity 4)
Te1 0.000 0.247 0.000 (multiplicity 4)
Te2 0.000 0.258 0.500 (multiplicity 4)
Te3 0.245 0.500 0.507 (multiplicity 4)
Te4 0.245 0.500 0.984 (multiplicity 4)

Properties
* total magnetic moment: 0.0 μB per cell
* ΔE_f (raw): -1422 meV/atom
* E: -5.29 eV/atom

10.
VASP calculation (GGA-PBE) on a relaxed LiAgRh2 crystal.

abc: 3.729 3.729 8.566
angles: 90.00 90.00 90.00
Space group I4/mmm (No. 139)
One atom of each set of equivalent atoms:
Li1 0.000 0.000 0.000 (multiplicity 2)
Ag1 0.000 0.000 0.500 (multiplicity 2)
Rh1 0.000 0.500 0.250 (multiplicity 4)

Properties
* formation energy: 119 meV per atom
* total magnetic moment: 3.0 μB per cell
* offset from the most stable computed form: 123 meV per atom
* E: -4.75 eV/atom

11.
VASP calculation (GGA-PBE) on a relaxed InOs2Se2 crystal.

abc: 7.863 7.863 2.961
angles: 90.00 90.00 90.00
Space group P4/mbm (No. 127)
One atom of each set of equivalent atoms:
In1 0.000 0.000 0.000 (multiplicity 2)
Os1 0.131 0.369 0.500 (multiplicity 4)
Se1 0.139 0.639 0.000 (multiplicity 4)

Properties
* total magnetic moment: 0.0 μB per cell
* ΔE_f (raw): 801 meV/atom
* offset from the most stable computed form: 510 meV per atom
* E: -5.63 eV/atom

12.
VASP calculation (GGA-PBE) on a relaxed LiCrFe crystal.

abc: 2.5044 2.5044 19.6074
angles: 90.00 90.00 120.00
Space group R3m (No. 160, hexagonal axes)
One atom of each set of equivalent atoms:
Li1 0.0000 0.0000 0.0000 (multiplicity 3)
Cr1 0.0000 0.0000 0.7889 (multiplicity 3)
Fe1 0.0000 0.0000 0.5520 (multiplicity 3)

Properties
* formation energy: 321 meV per atom
* total magnetic moment: 0.0 μB per cell
* offset from the most stable computed form: 174 meV per atom
* E: -6.35 eV/atom

Look up the total magnetic moment of the eleventh one. 0.0 μB per cell